Record 1
A relaxed structure of Dy4Co, computed with PBE.

The structure in extended XYZ format:
```
10
Lattice="0.0000 5.2688 5.2688 5.2688 0.0000 5.2688 5.2688 5.2688 0.0000" Properties=species:S:1:pos:R:3 pbc="T T T"
Dy 8.0170 5.1551 5.1551
Dy 2.5207 2.5207 2.5207
Dy 5.3826 5.3826 2.5207
Dy 5.3826 2.5207 5.3826
Dy 5.1551 8.0170 5.1551
Dy 5.1551 5.1551 8.0170
Dy 8.0170 8.0170 8.0170
Dy 2.5207 5.3826 5.3826
Co 3.9516 3.9516 3.9516
Co 6.5861 6.5861 6.5861
```

## Properties
Calculated total energy ... -4.81 eV per atom
Crystal system ... cubic
Energy above the lowest structure with this stoichiometry ... 0.291 eV per atom
DOS at the Fermi energy ... 1.455 states/eV per atom

Record 2
A relaxed structure of AcAgO2, computed with PBE.

The structure in extended XYZ format:
```
4
Lattice="1.9221 1.1097 5.9842 -1.9221 1.1097 5.9842 0.0000 -2.2194 5.9842" Properties=species:S:1:pos:R:3 pbc="T T T"
Ac 0.0000 0.0000 0.0000
Ag 0.0000 0.0000 14.5691
O 0.0000 0.0000 7.3651
O 0.0000 0.0000 10.9156
```

## Properties
Calculated total energy ... -6.05 eV per atom
Crystal system ... trigonal
Energy above the lowest structure with this stoichiometry ... 0.323 eV per atom
Formation energy from raw total energies ... -7.32 eV per formula unit

Record 3
A relaxed structure of NaLaSeBr, computed with PBE.

The structure in extended XYZ format:
```
8
Lattice="2.1300 1.2298 17.5139 -2.1300 1.2298 17.5139 0.0000 -2.4595 17.5139" Properties=species:S:1:pos:R:3 pbc="T T T"
Na 0.0000 0.0000 10.3411
Na 0.0000 0.0000 42.2007
La 0.0000 0.0000 21.2191
La 0.0000 0.0000 31.3227
Se 0.0000 0.0000 5.4137
Se 0.0000 0.0000 47.1280
Br 0.0000 0.0000 15.6678
Br 0.0000 0.0000 36.8739
```

## Properties
Calculated total energy ... -4.36 eV per atom
Crystal system ... trigonal
DOS at the Fermi energy ... 0.528 states/eV per atom
Formation energy from raw total energies ... -6.05 eV per formula unit

Record 4
A relaxed structure of Sn3Pd2Pt5, computed with PBE.

The structure in extended XYZ format:
```
20
Lattice="2.0581 -15.1620 0.0000 2.0581 15.1620 0.0000 0.0000 0.0000 5.6626" Properties=species:S:1:pos:R:3 pbc="T T T"
Sn 2.0581 13.8903 2.8313
Sn 2.0581 8.1005 2.2961
Sn 2.0581 3.1041 3.6448
Sn 2.0581 -3.1041 0.8135
Sn 2.0581 -8.1005 5.1274
Sn 2.0581 -13.8903 0.0000
Pd 2.0581 10.6939 5.1314
Pd 2.0581 0.2265 4.1993
Pd 2.0581 -0.2265 1.3680
Pd 2.0581 -10.6939 2.3001
Pt 2.0581 13.6166 5.5331
Pt 2.0581 10.9734 2.3471
Pt 2.0581 5.8606 3.7684
Pt 2.0581 5.7975 0.8900
Pt 2.0581 2.8290 0.9135
Pt 2.0581 -2.8290 3.7448
Pt 2.0581 -5.7975 3.7213
Pt 2.0581 -5.8606 0.9371
Pt 2.0581 -10.9734 5.1785
Pt 2.0581 -13.6166 2.7018
```

## Properties
Calculated total energy ... -5.66 eV per atom
Crystal system ... orthorhombic
DOS at the Fermi energy ... 0.442 states/eV per atom

Record 5
A relaxed structure of NaSr4Tc3O12, computed with PBE.

The structure in extended XYZ format:
```
20
Lattice="-4.0214 4.0214 4.0214 4.0214 -4.0214 4.0214 4.0214 4.0214 -4.0214" Properties=species:S:1:pos:R:3 pbc="T T T"
Na 0.0000 0.0000 0.0000
Sr 2.0107 2.0107 -2.0107
Sr 2.0107 -2.0107 2.0107
Sr -2.0107 2.0107 2.0107
Sr 2.0107 2.0107 2.0107
Tc 4.0214 0.0000 0.0000
Tc 0.0000 4.0214 0.0000
Tc 0.0000 0.0000 4.0214
O 2.1471 0.0000 0.0000
O 5.8957 0.0000 0.0000
O 4.0214 2.0107 0.0000
O 4.0214 0.0000 2.0107
O 0.0000 2.1471 0.0000
O 0.0000 0.0000 2.1471
O 2.0107 4.0214 0.0000
O 2.0107 0.0000 4.0214
O 0.0000 5.8957 0.0000
O 0.0000 0.0000 5.8957
O 0.0000 4.0214 2.0107
O 0.0000 2.0107 4.0214
```

## Properties
Calculated total energy ... -6.99 eV per atom
Crystal system ... cubic
DOS at the Fermi energy ... 0.093 states/eV per atom
Formation energy from raw total energies ... -41.17 eV per formula unit

Record 6
A relaxed structure of La2Cd3Hg4, computed with PBE.

The structure in extended XYZ format:
```
18
Lattice="3.1637 -8.2744 0.0000 3.1637 8.2744 0.0000 0.0000 0.0000 9.0120" Properties=species:S:1:pos:R:3 pbc="T T T"
La 3.1637 6.3925 8.2856
La 3.1637 1.8819 3.7796
La 3.1637 -1.8819 5.2324
La 3.1637 -6.3925 0.7264
Cd 0.0000 0.0000 4.5060
Cd 1.5818 3.6088 6.7590
Cd 1.5818 -3.6088 2.2530
Cd 3.1637 0.0000 0.0000
Cd 4.7455 3.6088 6.7590
Cd 4.7455 -3.6088 2.2530
Hg 3.1637 5.2686 4.8219
Hg 1.5818 0.7033 6.7590
Hg 1.5818 -0.7033 2.2530
Hg 3.1637 3.0058 0.3159
Hg 3.1637 -3.0058 8.6961
Hg 4.7455 0.7033 6.7590
Hg 4.7455 -0.7033 2.2530
Hg 3.1637 -5.2686 4.1901
```

## Properties
Calculated total energy ... -1.84 eV per atom
Crystal system ... orthorhombic
Energy above the lowest structure with this stoichiometry ... 0.073 eV per atom
DOS at the Fermi energy ... 0.849 states/eV per atom

Record 7
A relaxed structure of Y2Zn2Sn, computed with PBE.

The structure in extended XYZ format:
```
10
Lattice="8.2615 0.0000 0.0000 0.0000 8.2615 0.0000 0.0000 0.0000 3.6873" Properties=species:S:1:pos:R:3 pbc="T T T"
Y 1.3237 2.8070 0.0000
Y 2.8070 6.9378 0.0000
Y 5.4545 1.3237 0.0000
Y 6.9378 5.4545 0.0000
Zn 1.1243 5.2550 1.8436
Zn 3.0065 1.1243 1.8436
Zn 5.2550 7.1372 1.8436
Zn 7.1372 3.0065 1.8436
Sn 0.0000 0.0000 0.0000
Sn 4.1308 4.1308 0.0000
```

## Properties
Calculated total energy ... -4.08 eV per atom
Crystal system ... tetragonal
DOS at the Fermi energy ... 1.139 states/eV per atom

Record 8
A relaxed structure of ScNiOs2, computed with PBE.

The structure in extended XYZ format:
```
4
Lattice="4.6201 -1.4320 0.0000 4.6201 1.4320 0.0000 -1.0363 0.0000 4.5210" Properties=species:S:1:pos:R:3 pbc="T T T"
Sc 0.0000 0.0000 0.0000
Ni 1.4156 0.0000 3.5987
Os 4.1489 0.0000 2.2320
Os 6.6992 0.0000 1.5618
```

## Properties
Calculated total energy ... -8.68 eV per atom
Crystal system ... monoclinic
Energy above the lowest structure with this stoichiometry ... 0.045 eV per atom
DOS at the Fermi energy ... 0.801 states/eV per atom

Record 9
A relaxed structure of YH2Ru, computed with PBE.

The structure in extended XYZ format:
```
8
Lattice="-2.1344 2.1344 5.2230 2.1344 -2.1344 5.2230 2.1344 2.1344 -5.2230" Properties=species:S:1:pos:R:3 pbc="T T T"
Y 0.0000 0.0000 0.0000
Y 0.0000 2.1344 2.6115
H 1.0672 -0.5854 3.9172
H 1.5490 1.0672 1.3057
H 1.0672 2.7198 -1.3057
H 0.5854 1.0672 6.5287
Ru 2.1344 0.0000 2.6115
Ru 0.0000 0.0000 5.2230
```

## Properties
Calculated total energy ... -5.91 eV per atom
Crystal system ... tetragonal
Energy above the lowest structure with this stoichiometry ... 0.000 eV per atom
DOS at the Fermi energy ... 0.464 states/eV per atom

Record 10
A relaxed structure of Ac2Pm2DyY, computed with PBE.

The structure in extended XYZ format:
```
12
Lattice="5.8974 0.0000 0.0000 0.0000 10.1736 0.0000 0.0000 0.0000 7.3466" Properties=species:S:1:pos:R:3 pbc="T T T"
Ac 0.0000 0.0032 0.0000
Ac 0.0000 10.1704 3.6733
Ac 2.9487 1.7908 1.8384
Ac 2.9487 8.3828 5.5117
Pm 0.0000 3.5146 1.8346
Pm 0.0000 6.6591 5.5079
Pm 2.9487 1.7796 5.5097
Pm 2.9487 8.3940 1.8364
Dy 0.0000 3.4412 5.5063
Dy 0.0000 6.7324 1.8330
Y 2.9487 5.0856 7.3442
Y 2.9487 5.0880 3.6709
```

## Properties
Calculated total energy ... -4.71 eV per atom
Crystal system ... orthorhombic
DOS at the Fermi energy ... 1.670 states/eV per atom

Record 11
A relaxed structure of CePrGdGa, computed with PBE.

The structure in extended XYZ format:
```
4
Lattice="0.0000 3.7628 3.7628 3.7628 0.0000 3.7628 3.7628 3.7628 0.0000" Properties=species:S:1:pos:R:3 pbc="T T T"
Ce 0.0000 0.0000 0.0000
Pr 1.8814 1.8814 1.8814
Gd 5.6441 5.6441 5.6441
Ga 3.7628 3.7628 3.7628
```

## Properties
Calculated total energy ... -7.00 eV per atom
Crystal system ... cubic
DOS at the Fermi energy ... 2.018 states/eV per atom

Record 12
A relaxed structure of BeHg2As, computed with PBE.

The structure in extended XYZ format:
```
8
Lattice="-2.2745 2.2745 8.3232 2.2745 -2.2745 8.3232 2.2745 2.2745 -8.3232" Properties=species:S:1:pos:R:3 pbc="T T T"
Be 0.0000 0.0000 0.0000
Be 0.0000 2.2745 4.1616
Hg 3.4118 0.9098 -2.0808
Hg 0.9098 1.1373 2.0808
Hg -1.1373 1.3647 6.2424
Hg 1.3647 1.1373 10.4041
As 2.2745 0.0000 4.1616
As 0.0000 0.0000 8.3232
```

## Properties
Calculated total energy ... -1.80 eV per atom
Crystal system ... tetragonal
Energy above the lowest structure with this stoichiometry ... 0.388 eV per atom
DOS at the Fermi energy ... 0.433 states/eV per atom

Record 13
A relaxed structure of NaCd3Ag8, computed with PBE.

The structure in extended XYZ format:
```
12
Lattice="2.7994 1.6162 9.0580 -2.7994 1.6162 9.0580 0.0000 -3.2324 9.0580" Properties=species:S:1:pos:R:3 pbc="T T T"
Na 0.0000 0.0000 0.0000
Cd 0.0000 0.0000 3.4685
Cd 0.0000 0.0000 13.5928
Cd 0.0000 0.0000 16.9225
Ag 0.0000 -1.6121 6.1978
Ag -1.3961 0.8060 6.1978
Ag -1.3955 -0.8057 10.7768
Ag 0.0000 0.0000 8.4850
Ag 1.3961 0.8060 6.1978
Ag 1.3955 -0.8057 10.7768
Ag 0.0000 1.6113 10.7768
Ag 0.0000 0.0000 22.0751
```

## Properties
Calculated total energy ... -2.23 eV per atom
Crystal system ... trigonal
DOS at the Fermi energy ... 0.395 states/eV per atom

Record 14
A relaxed structure of AlSe2SBr, computed with PBE.

The structure in extended XYZ format:
```
5
Lattice="4.9813 0.0000 0.0000 0.0000 4.9813 0.0000 0.0000 0.0000 4.7672" Properties=species:S:1:pos:R:3 pbc="T T T"
Al 0.0000 0.0000 0.0000
Se 0.0000 2.4907 0.0000
Se 2.4907 0.0000 0.0000
S 2.4907 2.4907 2.3836
Br 0.0000 0.0000 2.3836
```

## Properties
Calculated total energy ... -2.95 eV per atom
Crystal system ... tetragonal
Energy above the lowest structure with this stoichiometry ... 0.000 eV per atom
DOS at the Fermi energy ... 0.745 states/eV per atom
Formation energy from raw total energies ... 1.75 eV per formula unit

Record 15
A relaxed structure of PmEuSi2, computed with PBE.

The structure in extended XYZ format:
```
4
Lattice="3.9248 0.0000 0.0000 0.0000 3.9248 0.0000 0.0000 0.0000 6.4467" Properties=species:S:1:pos:R:3 pbc="T T T"
Pm 0.0000 0.0000 0.0000
Eu 0.0000 0.0000 3.2234
Si 1.9624 1.9624 1.2210
Si 1.9624 1.9624 5.2258
```

## Properties
Calculated total energy ... -6.91 eV per atom
Crystal system ... tetragonal
Energy above the lowest structure with this stoichiometry ... 0.000 eV per atom
DOS at the Fermi energy ... 0.540 states/eV per atom
Formation energy from raw total energies ... -1.75 eV per formula unit

Record 16
A relaxed structure of SrCa2Cr, computed with PBE.

The structure in extended XYZ format:
```
4
Lattice="0.0000 4.1280 4.1280 4.1280 0.0000 4.1280 4.1280 4.1280 0.0000" Properties=species:S:1:pos:R:3 pbc="T T T"
Sr 0.0000 0.0000 0.0000
Ca 2.0640 2.0640 2.0640
Ca 6.1919 6.1919 6.1919
Cr 4.1280 4.1280 4.1280
```

## Properties
Calculated total energy ... -3.38 eV per atom
Crystal system ... cubic
Energy above the lowest structure with this stoichiometry ... 0.081 eV per atom
DOS at the Fermi energy ... 1.045 states/eV per atom

Record 17
A relaxed structure of Rb3Hg2Sb2, computed with PBE.

The structure in extended XYZ format:
```
7
Lattice="-2.4482 2.8156 10.7051 2.4482 -2.8156 10.7051 2.4482 2.8156 -10.7051" Properties=species:S:1:pos:R:3 pbc="T T T"
Rb 0.0000 0.0000 0.0000
Rb 2.4482 0.0000 4.0121
Rb 0.0000 2.8156 6.6930
Hg 0.0000 0.0000 9.2345
Hg 0.0000 0.0000 12.1757
Sb 2.4482 0.0000 7.8344
Sb 0.0000 2.8156 2.8708
```

## Properties
Calculated total energy ... -2.03 eV per atom
Crystal system ... orthorhombic
DOS at the Fermi energy ... 0.319 states/eV per atom
Formation energy from raw total energies ... -2.48 eV per formula unit

Let's list ρ in order: 8.05; 7.95; 3.87; 14.51; 5.49; 9.98; 5.64; 13.44; 6.70; 7.50; 7.92; 9.35; 8.26; 4.17; 5.90; 2.59; 5.07 g cm⁻³.